Zn3FeCo: relaxed, PBE-GGA.

Computed properties:
- polymorph energy (0 for the lowest one) (eV per atom) = 0.000
- space group = Pm-3m
- Fermi-level density of states (states/eV/atom) = 1.713
- DFT formation energy (meV per atom) = 776

Cell: 4.4572 4.4572 4.4572 Å, 90.00 90.00 90.00°
Fractional positions:
Zn 0.0000 0.0000 0.5000
Zn 0.0000 0.5000 0.0000
Zn 0.5000 0.0000 0.0000
Fe 0.5000 0.5000 0.5000
Co 0.0000 0.0000 0.0000



BaZn2Ag4: relaxed, PBE-GGA.

Computed properties:
- polymorph energy (0 for the lowest one) (eV per atom) = 0.199
- space group = I4/mmm
- Fermi-level density of states (states/eV/atom) = 0.372
- DFT formation energy (meV per atom) = 92

Cell: 6.4154 6.4154 6.4154 Å, 102.56 102.56 124.41°
Fractional positions:
Ba 0.0000 0.0000 0.0000
Zn 0.2500 0.7500 0.5000
Zn 0.7500 0.2500 0.5000
Ag 0.2606 0.5000 0.7606
Ag 0.5000 0.2606 0.7606
Ag 0.5000 0.7394 0.2394
Ag 0.7394 0.5000 0.2394



AcSi2Ni5Pt: relaxed, PBE-GGA.

Computed properties:
- formation energy without anion corrections (eV/atom) = -0.1780
- space group = P4/mmm
- Fermi-level density of states (states/eV/atom) = 0.942

Cell: 3.9800 3.9800 9.6349 Å, 90.00 90.00 90.00°
Fractional positions:
Ac 0.0000 0.0000 0.0000
Si 0.5000 0.5000 0.2312
Si 0.5000 0.5000 0.7688
Ni 0.0000 0.5000 0.3432
Ni 0.0000 0.5000 0.6568
Ni 0.5000 0.0000 0.3432
Ni 0.5000 0.0000 0.6568
Ni 0.5000 0.5000 0.0000
Pt 0.0000 0.0000 0.5000